First-principles (PBE) data for a relaxed structure of TmCd2BiO6, as listed in Alexandria.

Lattice parameters (Å, degrees): 5.998 5.998 5.998 57.10 57.10 57.10
Fractional positions:
Tm  0.000  0.000  0.000
Cd  0.277  0.277  0.277
Cd  0.779  0.779  0.779
Bi  0.496  0.496  0.496
O  0.127  0.709  0.375
O  0.223  0.619  0.861
O  0.375  0.127  0.709
O  0.619  0.861  0.223
O  0.709  0.375  0.127
O  0.861  0.223  0.619

Properties
formation energy from raw total energies	-1.648	eV/atom
energy	-56.41	eV per formula unit
symmetry	R3

---

First-principles (PBE) data for a relaxed structure of Tm2CdBiO6, as listed in Alexandria.

Lattice parameters (Å, degrees): 6.087 6.087 6.087 56.68 56.68 56.68
Fractional positions:
Tm  0.000  0.000  0.000
Tm  0.499  0.499  0.499
Cd  0.220  0.220  0.220
Bi  0.710  0.710  0.710
O  0.113  0.393  0.795
O  0.306  0.880  0.624
O  0.393  0.795  0.113
O  0.624  0.306  0.880
O  0.795  0.113  0.393
O  0.880  0.624  0.306

Properties
formation energy from raw total energies	-2.300	eV/atom
energy	-66.49	eV per formula unit
symmetry	R3

---

First-principles (PBE) data for a relaxed structure of UCd2BiO6, as listed in Alexandria.

Lattice parameters (Å, degrees): 6.257 6.257 4.387 90.00 90.00 90.00
Fractional positions:
U  0.000  0.000  0.000
Cd  0.000  0.500  0.286
Cd  0.500  0.000  0.286
Bi  0.500  0.500  0.944
O  0.000  0.000  0.510
O  0.237  0.237  0.034
O  0.237  0.763  0.034
O  0.500  0.500  0.449
O  0.763  0.237  0.034
O  0.763  0.763  0.034

Properties
formation energy from raw total energies	-1.586	eV/atom
energy	-62.60	eV per formula unit
symmetry	P4mm